No. 1
Material: Ca2TaBr
Method: DFT, GGA-PBEsol
State: relaxed

Output
uncorrected formation energy	0.144	eV/atom
energy above the most stable polymorph in this dataset	120	kJ/mol of formula units

Structure (POSCAR):
```
Ca2TaBr
1.0
-0.892 -0.004 -3.120
-0.737 -5.468 0.218
-4.650 2.490 3.014
Br Ca Ta
1 2 1
Cartesian
-2.709 -3.103 0.779 Br
-6.018 -2.808 0.037 Ca
-3.513 -0.346 -0.682 Ca
-1.133 -2.443 -1.360 Ta
```

---

No. 2
Material: Ca2TaBr
Method: DFT, GGA-PBEsol
State: relaxed

Output
uncorrected formation energy	0.401	eV/atom
energy above the most stable polymorph in this dataset	219	kJ/mol of formula units

Structure (POSCAR):
```
Ca2TaBr
1.0
3.340 0.000 0.000
0.000 5.933 0.000
-1.670 -2.966 5.134
Ca Ta Br
2 1 1
Cartesian
1.670 2.966 2.304 Ca
0.000 0.000 2.830 Ca
1.670 0.000 0.000 Ta
0.000 2.966 0.000 Br
```

---

No. 3
Material: CaTaBr3
Method: DFT, GGA-PBEsol
State: relaxed

Output
uncorrected formation energy	0.111	eV/atom

Structure (POSCAR):
```
CaTaBr3
1.0
5.445 0.000 0.000
0.000 5.445 0.000
0.000 0.000 5.445
Ta Br Ca
1 3 1
Cartesian
2.723 2.723 2.723 Ta
0.000 2.723 0.000 Br
2.723 0.000 0.000 Br
0.000 0.000 2.723 Br
0.000 0.000 0.000 Ca
```

---

No. 4
Material: CaTaBr
Method: DFT, GGA-PBEsol
State: relaxed

Output
uncorrected formation energy	0.859	eV/atom

Structure (POSCAR):
```
CaTaBr
1.0
-3.426 -2.813 1.115
0.243 -2.495 3.823
-2.705 0.988 3.550
Ta Br Ca
1 1 1
Cartesian
-2.944 -2.160 4.244 Ta
-1.472 -1.080 2.122 Br
0.000 0.000 0.000 Ca
```

---

No. 5
Material: CaTeBr2
Method: DFT, GGA-PBEsol
State: relaxed

Output
uncorrected formation energy	-0.853	eV/atom
energy above the most stable polymorph in this dataset	22	kJ/mol of formula units

Structure (POSCAR):
```
CaTeBr2
1.0
4.542 0.000 0.000
0.000 4.850 0.000
0.000 0.000 4.850
Br Te Ca
2 1 1
Cartesian
0.000 0.000 2.425 Br
0.000 2.425 0.000 Br
2.271 0.000 0.000 Te
2.271 2.425 2.425 Ca
```

---

No. 6
Material: CaTeBr2
Method: DFT, GGA-PBEsol
State: relaxed

Output
uncorrected formation energy	-0.694	eV/atom
energy above the most stable polymorph in this dataset	83	kJ/mol of formula units

Structure (POSCAR):
```
CaTeBr2
1.0
5.363 0.000 0.000
2.682 4.645 0.000
2.682 1.548 4.379
Ca Br Te
1 2 1
Cartesian
5.363 3.096 2.189 Ca
0.000 0.000 0.000 Br
8.045 4.645 3.284 Br
2.682 1.548 1.095 Te
```

---

No. 7
Material: CaTeBr2
Method: DFT, GGA-PBEsol
State: relaxed

Output
uncorrected formation energy	-0.909	eV/atom
energy above the most stable polymorph in this dataset	0	kJ/mol of formula units

Structure (POSCAR):
```
CaTeBr2
1.0
3.725 0.000 0.000
0.000 3.725 0.000
0.000 0.000 7.817
Te Br Ca
1 2 1
Cartesian
1.862 1.862 5.856 Te
1.862 1.862 2.344 Br
0.000 0.000 7.659 Br
0.000 0.000 3.684 Ca
```

---

No. 8
Material: CaTeBr2
Method: DFT, GGA-PBEsol
State: relaxed

Output
uncorrected formation energy	-0.804	eV/atom
energy above the most stable polymorph in this dataset	41	kJ/mol of formula units

Structure (POSCAR):
```
CaTeBr2
1.0
-1.753 -3.489 -0.223
1.863 -3.024 -1.638
3.584 -4.484 7.687
Br Te Ca
2 1 1
Cartesian
0.205 -6.575 -1.638 Br
2.564 -8.114 3.886 Br
0.981 -2.787 1.591 Te
1.901 -5.534 3.039 Ca
```

---

The calculation returns the following energy values, one per record and in order: -4.5283, -4.2713, -3.9480, -4.6591, -3.2028, -3.0436, -3.2592, -3.1536 eV/atom.
The calculation returns the following Fermi-level density of states values, one per record and in order: 4.24, 4.91, 8.40, 3.13, 2.24, 6.44, 2.24, 5.16 states/eV per cell.